# BeAl2Tc, relaxed, DFT PBE
# Energy: -5.394 eV per atom
data_BeAl2Tc
_chemical_formula_sum 'Be4 Al8 Tc4'
_cell_length_a 5.947
_cell_length_b 5.947
_cell_length_c 5.947
_cell_angle_alpha 90.00
_cell_angle_beta 90.00
_cell_angle_gamma 90.00
_space_group_name_H-M_alt 'F -4 3 m'
_space_group_IT_number 216
_space_group_name_Hall 'F -4 2 3'
loop_
_atom_site_label
_atom_site_type_symbol
_atom_site_fract_x
_atom_site_fract_y
_atom_site_fract_z
Be1 Be 0.000 0.000 0.000
Al1 Al 0.000 0.000 0.500
Al2 Al 0.250 0.250 0.750
Tc1 Tc 0.250 0.250 0.250

# LaCuOsW, relaxed, DFT PBE
# Calculated formation energy: 585.2 meV per atom
# Energy: -7.621 eV per atom
# Energy above the lowest structure with this stoichiometry: 85.8 meV per atom
data_LaCuOsW
_chemical_formula_sum 'La4 Cu4 Os4 W4'
_cell_length_a 6.655
_cell_length_b 6.655
_cell_length_c 6.655
_cell_angle_alpha 90.00
_cell_angle_beta 90.00
_cell_angle_gamma 90.00
_space_group_name_H-M_alt 'F -4 3 m'
_space_group_IT_number 216
_space_group_name_Hall 'F -4 2 3'
loop_
_atom_site_label
_atom_site_type_symbol
_atom_site_fract_x
_atom_site_fract_y
_atom_site_fract_z
La1 La 0.000 0.000 0.000
Cu1 Cu 0.250 0.250 0.250
Os1 Os 0.250 0.250 0.750
W1 W 0.000 0.000 0.500

# CsTbTeO, relaxed, DFT PBE
# Energy: -5.519 eV per atom
# Energy above the lowest structure with this stoichiometry: 0.0 meV per atom
data_CsTbTeO
_chemical_formula_sum 'Cs4 Tb4 Te4 O4'
_cell_length_a 9.651
_cell_length_b 7.510
_cell_length_c 6.802
_cell_angle_alpha 90.00
_cell_angle_beta 99.19
_cell_angle_gamma 90.00
_space_group_name_H-M_alt 'P 1 21/c 1'
_space_group_IT_number 14
loop_
_space_group_symop_operation_xyz
'x,y,z'
'-x,-y,-z'
'-x,y+1/2,-z+1/2'
'x,-y+1/2,z+1/2'
loop_
_atom_site_label
_atom_site_type_symbol
_atom_site_fract_x
_atom_site_fract_y
_atom_site_fract_z
Cs1 Cs 0.129 0.083 0.330
Tb1 Tb 0.494 0.637 0.794
Te1 Te 0.265 0.577 0.377
O1 O 0.433 0.140 0.384

# SmTlTe3Pd, relaxed, DFT PBE
# Energy: -4.340 eV per atom
# Energy above the lowest structure with this stoichiometry: 14.8 meV per atom
data_SmTlTe3Pd
_chemical_formula_sum 'Sm2 Tl2 Te6 Pd2'
_cell_length_a 9.121
_cell_length_b 4.265
_cell_length_c 10.894
_cell_angle_alpha 90.00
_cell_angle_beta 111.00
_cell_angle_gamma 90.00
_space_group_name_H-M_alt 'P 1 21/m 1'
_space_group_IT_number 11
loop_
_space_group_symop_operation_xyz
'x,y,z'
'-x,-y,-z'
'-x,y+1/2,-z'
'x,-y+1/2,z'
loop_
_atom_site_label
_atom_site_type_symbol
_atom_site_fract_x
_atom_site_fract_y
_atom_site_fract_z
Sm1 Sm 0.194 0.250 0.149
Tl1 Tl 0.246 0.750 0.708
Te1 Te 0.058 0.250 0.846
Te2 Te 0.287 0.250 0.466
Te3 Te 0.447 0.750 0.155
Pd1 Pd 0.407 0.750 0.388

# FeCl3, relaxed, DFT PBE
# Energy: -3.062 eV per atom
data_FeCl3
_chemical_formula_sum 'Fe2 Cl6'
_cell_length_a 4.091
_cell_length_b 4.091
_cell_length_c 9.106
_cell_angle_alpha 90.00
_cell_angle_beta 90.00
_cell_angle_gamma 90.00
_space_group_name_H-M_alt 'I 4/m m m'
_space_group_IT_number 139
_space_group_name_Hall '-I 4 2'
loop_
_atom_site_label
_atom_site_type_symbol
_atom_site_fract_x
_atom_site_fract_y
_atom_site_fract_z
Fe1 Fe 0.000 0.000 0.000
Cl1 Cl 0.000 0.000 0.500
Cl2 Cl 0.000 0.500 0.250

# RbHg3Au, relaxed, DFT PBE
# Energy: -1.230 eV per atom
data_RbHg3Au
_chemical_formula_sum 'Rb4 Hg12 Au4'
_cell_length_a 7.387
_cell_length_b 11.408
_cell_length_c 7.242
_cell_angle_alpha 90.00
_cell_angle_beta 90.00
_cell_angle_gamma 90.00
_space_group_name_H-M_alt 'C m c m'
_space_group_IT_number 63
_space_group_name_Hall '-C 2c 2'
loop_
_atom_site_label
_atom_site_type_symbol
_atom_site_fract_x
_atom_site_fract_y
_atom_site_fract_z
Rb1 Rb 0.000 0.236 0.250
Hg1 Hg 0.000 0.121 0.750
Hg2 Hg 0.225 0.500 0.000
Au1 Au 0.000 0.366 0.750

# ZnTcNO, relaxed, DFT PBE
# Energy: -6.550 eV per atom
# Energy above the lowest structure with this stoichiometry: 183.2 meV per atom
data_ZnTcNO
_chemical_formula_sum 'Zn2 Tc2 N2 O2'
_cell_length_a 2.914
_cell_length_b 5.890
_cell_length_c 5.411
_cell_angle_alpha 90.00
_cell_angle_beta 90.00
_cell_angle_gamma 90.00
_space_group_name_H-M_alt 'P m c 21'
_space_group_IT_number 26
loop_
_space_group_symop_operation_xyz
'x,y,z'
'-x,-y,z+1/2'
'-x,y,z'
'x,-y,z+1/2'
loop_
_atom_site_label
_atom_site_type_symbol
_atom_site_fract_x
_atom_site_fract_y
_atom_site_fract_z
Zn1 Zn 0.000 0.168 0.000
Tc1 Tc 0.500 0.397 0.452
N1 N 0.500 0.312 0.794
O1 O 0.000 0.147 0.364

# HoBeTc, relaxed, DFT PBE
# Energy: -4.879 eV per atom
# Energy above the lowest structure with this stoichiometry: 1000.5 meV per atom
data_HoBeTc
_chemical_formula_sum 'Ho4 Be4 Tc4'
_cell_length_a 6.226
_cell_length_b 6.226
_cell_length_c 6.226
_cell_angle_alpha 90.00
_cell_angle_beta 90.00
_cell_angle_gamma 90.00
_space_group_name_H-M_alt 'F -4 3 m'
_space_group_IT_number 216
_space_group_name_Hall 'F -4 2 3'
loop_
_atom_site_label
_atom_site_type_symbol
_atom_site_fract_x
_atom_site_fract_y
_atom_site_fract_z
Ho1 Ho 0.000 0.000 0.000
Be1 Be 0.250 0.250 0.750
Tc1 Tc 0.250 0.250 0.250

# ErFe2Co, relaxed, DFT PBE
# Calculated formation energy: -144.3 meV per atom
# Energy: -7.216 eV per atom
data_ErFe2Co
_chemical_formula_sum 'Er9 Fe18 Co9'
_cell_length_a 5.0164
_cell_length_b 5.0164
_cell_length_c 24.2158
_cell_angle_alpha 90.00
_cell_angle_beta 90.00
_cell_angle_gamma 120.00
_space_group_name_H-M_alt 'R -3 m'
_space_group_IT_number 166
_space_group_name_Hall '-R 3 2"'
loop_
_atom_site_label
_atom_site_type_symbol
_atom_site_fract_x
_atom_site_fract_y
_atom_site_fract_z
Er1 Er 0.0000 0.0000 0.0000
Er2 Er 0.0000 0.0000 0.1421
Fe1 Fe 0.0007 0.5003 0.9181
Co1 Co 0.0000 0.0000 0.3326
Co2 Co 0.0000 0.0000 0.5000